Entry 1:
OsSe2Cl | PBE-GGA | relaxed

Computed properties:
For the magnetization, the calculation gives 0.0000 μB per atom. For the density of states at the Fermi level, the calculation gives 0.56 states/eV/atom. The formation energy from raw total energies comes out at -0.01 eV/atom. As for the energy above the most stable polymorph in this dataset: 0.0 meV per atom.

abc: 7.7195 7.7195 7.7195
angles: 28.71 28.71 28.71
Fractional positions:
1 Os 0.0000 0.0000 0.0000
2 Se 0.3866 0.3866 0.3866
3 Se 0.6134 0.6134 0.6134
4 Cl 0.5000 0.5000 0.5000

Entry 2:
Fe5Ir3 | PBE-GGA | relaxed

Computed properties:
As for the formation energy: 0.0115 eV per atom. For the magnetization, the calculation gives 1.4000 μB per atom. For the density of states at the Fermi level, the calculation gives 1.31 states/eV/atom. As for the energy above the most stable polymorph in this dataset: 0.0 meV per atom.

abc: 5.2448 5.2448 3.7073
angles: 90.00 90.00 91.29
Fractional positions:
1 Fe 0.0000 0.0000 0.0000
2 Fe 0.0000 0.5000 0.0000
3 Fe 0.2474 0.2474 0.5000
4 Fe 0.5000 0.0000 0.0000
5 Fe 0.7526 0.7526 0.5000
6 Ir 0.2467 0.7533 0.5000
7 Ir 0.5000 0.5000 0.0000
8 Ir 0.7533 0.2467 0.5000

Entry 3:
CrCd2SiPd | PBE-GGA | relaxed

Computed properties:
For the magnetization, the calculation gives 0.7898 μB per atom. For the density of states at the Fermi level, the calculation gives 0.93 states/eV/atom. The formation energy from raw total energies comes out at 0.81 eV/atom.

abc: 5.0715 5.0715 4.8716
angles: 90.00 90.00 90.00
Fractional positions:
1 Cr 0.0000 0.0000 0.0000
2 Cd 0.0000 0.5000 0.5000
3 Cd 0.5000 0.0000 0.5000
4 Si 0.5000 0.5000 0.0000
5 Pd 0.0000 0.0000 0.5000